Entry 1:
4
Lattice="3.299 -3.312 0.000 3.299 3.312 0.000 -3.211 0.000 4.928" Properties=species:S:1:pos:R:3 comment="LiTl3, optimized geometry, DFT PBE" final_energy_ry_per_atom=-0.1707 crystal_system=monoclinic dos_ef_per_ev_atom=0.514 spacegroup="No. 12" pbc="T T T"
Li 0.000 0.000 0.000
Tl 1.694 1.665 2.464
Tl 3.299 0.000 0.000
Tl 1.694 -1.665 2.464

---

Entry 2:
4
Lattice="2.794 -2.791 0.000 2.794 2.791 0.000 -0.010 0.000 6.897" Properties=species:S:1:pos:R:3 comment="LiTl3, optimized geometry, DFT PBE" final_energy_ry_per_atom=-0.1701 crystal_system=monoclinic dos_ef_per_ev_atom=0.472 spacegroup="No. 12" pbc="T T T"
Li 0.000 0.000 0.000
Tl -0.005 0.000 3.449
Tl 2.786 0.000 1.606
Tl 2.792 0.000 5.291

---

Entry 3:
19
Lattice="4.183 2.415 5.838 -4.183 2.415 5.838 0.000 -4.830 5.838" Properties=species:S:1:pos:R:3 comment="Li17Tl2, optimized geometry, DFT PBE" final_energy_ry_per_atom=-0.1462 crystal_system=trigonal dos_ef_per_ev_atom=0.382 spacegroup="No. 166" pbc="T T T"
Li -4.183 0.000 8.758
Li -1.274 -2.623 5.838
Li -2.092 1.208 2.919
Li -2.909 0.208 5.838
Li 0.000 0.000 1.702
Li -1.546 -0.892 7.717
Li 1.274 -2.623 5.838
Li -1.635 2.415 5.838
Li 0.000 -1.785 9.798
Li -1.546 0.892 9.798
Li 2.092 1.208 2.919
Li 1.546 -0.892 7.717
Li 0.000 1.785 7.717
Li 2.909 0.208 5.838
Li 1.635 2.415 5.838
Li 1.546 0.892 9.798
Li 0.000 0.000 15.813
Tl 0.000 0.000 4.979
Tl 0.000 0.000 12.536

---

Entry 4:
4
Lattice="3.189 -5.010 0.000 3.189 5.010 0.000 0.000 0.000 3.423" Properties=species:S:1:pos:R:3 comment="LiTl3, optimized geometry, DFT PBE" final_energy_ry_per_atom=-0.1697 crystal_system=orthorhombic dos_ef_per_ev_atom=0.382 spacegroup="No. 65" pbc="T T T"
Li 0.000 0.000 0.000
Tl 1.594 2.505 1.712
Tl 1.594 -2.505 1.712
Tl 3.189 0.000 0.000

---

Entry 5:
10
Lattice="7.791 -2.259 0.000 7.791 2.259 0.000 -2.222 0.000 5.473" Properties=species:S:1:pos:R:3 comment="Li7Tl3, optimized geometry, DFT PBE" final_energy_ry_per_atom=-0.1664 crystal_system=monoclinic dos_ef_per_ev_atom=0.325 spacegroup="No. 12" pbc="T T T"
Li 0.000 0.000 0.000
Li 1.717 0.000 3.385
Li 5.743 0.000 1.049
Li 4.668 0.000 3.721
Li 8.692 0.000 1.753
Li 7.616 0.000 4.424
Li 11.643 0.000 2.088
Tl -1.111 0.000 2.737
Tl 2.779 0.000 0.693
Tl 10.581 0.000 4.780

---

Entry 6:
11
Lattice="4.642 2.680 3.956 -4.642 2.680 3.956 0.000 -5.360 3.956" Properties=species:S:1:pos:R:3 comment="Li3Tl8, optimized geometry, DFT PBE" final_energy_ry_per_atom=-0.1653 crystal_system=trigonal dos_ef_per_ev_atom=0.351 spacegroup="No. 148" pbc="T T T"
Li -2.321 -1.340 3.956
Li -2.321 1.340 7.913
Li 0.000 2.680 3.956
Tl -2.595 -2.384 6.575
Tl -3.362 1.056 5.294
Tl 0.767 -3.440 5.294
Tl 0.000 0.000 4.307
Tl 0.000 0.000 7.562
Tl -0.767 3.440 6.575
Tl 3.362 -1.056 6.575
Tl 2.595 2.384 5.294

---

Entry 7:
15
Lattice="3.856 2.226 6.017 -3.856 2.226 6.017 0.000 -4.452 6.017" Properties=species:S:1:pos:R:3 comment="Li13Tl2, optimized geometry, DFT PBE" final_energy_ry_per_atom=-0.1471 crystal_system=trigonal dos_ef_per_ev_atom=0.521 spacegroup="No. 166" pbc="T T T"
Li 0.000 0.000 0.000
Li 0.000 -1.737 4.908
Li -1.504 0.868 4.908
Li 0.000 -1.690 7.867
Li -1.463 0.845 7.867
Li -1.463 -0.845 10.182
Li -1.504 -0.868 13.141
Li 1.504 0.868 4.908
Li 1.463 0.845 7.867
Li 1.463 -0.845 10.182
Li 0.000 1.690 10.182
Li 1.504 -0.868 13.141
Li 0.000 1.737 13.141
Tl 0.000 0.000 2.674
Tl 0.000 0.000 15.376

---

Entry 8:
4
Lattice="3.504 0.000 0.000 -1.752 3.034 0.000 0.000 0.000 10.106" Properties=species:S:1:pos:R:3 comment="LiTl3, optimized geometry, DFT PBE" final_energy_ry_per_atom=-0.1693 crystal_system=hexagonal dos_ef_per_ev_atom=0.652 spacegroup="No. 187" pbc="T T T"
Li 0.000 0.000 0.000
Tl 0.000 0.000 5.053
Tl 1.752 1.011 2.258
Tl 1.752 1.011 7.848

---

Entry 9:
5
Lattice="5.260 0.000 0.000 0.000 5.260 0.000 0.000 0.000 5.260" Properties=species:S:1:pos:R:3 comment="LiTl4, optimized geometry, DFT PBE" final_energy_ry_per_atom=-0.1635 polymorph_energy_mev_per_atom=121 crystal_system=cubic dos_ef_per_ev_atom=0.303 spacegroup="No. 221" pbc="T T T"
Li 0.000 0.000 0.000
Tl 0.000 0.000 2.630
Tl 0.000 2.630 0.000
Tl 2.630 0.000 0.000
Tl 2.630 2.630 2.630

---

Entry 10:
4
Lattice="0.000 3.792 3.792 3.792 0.000 3.792 3.792 3.792 0.000" Properties=species:S:1:pos:R:3 comment="LiTl3, optimized geometry, DFT PBE" final_energy_ry_per_atom=-0.1684 crystal_system=cubic dos_ef_per_ev_atom=0.489 spacegroup="No. 225" pbc="T T T"
Li 0.000 0.000 0.000
Tl 1.896 1.896 1.896
Tl 3.792 3.792 3.792
Tl 5.688 5.688 5.688

---

Entry 11:
4
Lattice="5.419 0.000 0.000 0.000 5.419 0.000 0.000 0.000 5.419" Properties=species:S:1:pos:R:3 comment="Li3Tl, optimized geometry, DFT PBE" final_energy_ry_per_atom=-0.1244 crystal_system=cubic dos_ef_per_ev_atom=1.153 spacegroup="No. 221" pbc="T T T"
Li 0.000 0.000 2.709
Li 0.000 2.709 0.000
Li 2.709 0.000 0.000
Tl 0.000 0.000 0.000

---

Entry 12:
9
Lattice="-4.362 4.362 2.290 4.362 -4.362 2.290 4.362 4.362 -2.290" Properties=species:S:1:pos:R:3 comment="Li8Tl, optimized geometry, DFT PBE" final_energy_ry_per_atom=-0.1511 crystal_system=tetragonal dos_ef_per_ev_atom=0.453 spacegroup="No. 139" pbc="T T T"
Li 2.879 0.000 0.000
Li 5.846 0.000 0.000
Li 0.000 2.879 0.000
Li 2.951 2.951 0.000
Li 1.411 -1.411 2.290
Li -1.411 1.411 2.290
Li 1.411 1.411 2.290
Li 0.000 5.846 0.000
Tl 0.000 0.000 0.000

---

Entry 13:
16
Lattice="5.348 0.000 0.000 0.000 9.727 0.000 0.000 0.000 5.989" Properties=species:S:1:pos:R:3 comment="Li3Tl, optimized geometry, DFT PBE" final_energy_ry_per_atom=-0.1619 crystal_system=orthorhombic dos_ef_per_ev_atom=0.295 spacegroup="No. 62" pbc="T T T"
Li 0.424 2.432 0.614
Li 1.207 4.979 2.105
Li 1.207 9.612 2.105
Li 1.467 0.115 5.100
Li 1.467 4.749 5.100
Li 2.250 7.296 3.609
Li 3.098 2.432 2.380
Li 3.881 4.979 0.889
Li 3.881 9.612 0.889
Li 4.141 0.115 3.884
Li 4.141 4.749 3.884
Li 4.923 7.296 5.375
Tl 0.540 2.432 3.508
Tl 2.134 7.296 0.514
Tl 3.214 2.432 5.475
Tl 4.807 7.296 2.481

---

Entry 14:
14
Lattice="-3.697 6.387 2.941 3.697 -6.387 2.941 3.697 6.387 -2.941" Properties=species:S:1:pos:R:3 comment="Li5Tl2, optimized geometry, DFT PBE" final_energy_ry_per_atom=-0.1627 polymorph_energy_mev_per_atom=60 crystal_system=orthorhombic dos_ef_per_ev_atom=0.445 spacegroup="No. 72" pbc="T T T"
Li 3.697 3.506 -1.470
Li 5.021 1.300 0.000
Li 0.000 0.000 1.470
Li 1.323 5.088 0.000
Li 0.000 2.881 1.470
Li 3.697 3.506 1.470
Li 2.374 1.300 2.941
Li 0.000 0.000 4.411
Li -1.323 5.088 2.941
Li 0.000 2.881 4.411
Tl 2.102 1.604 0.000
Tl 2.102 -1.604 2.941
Tl 1.595 7.991 0.000
Tl 1.595 4.784 2.941

---

Entry 15:
8
Lattice="3.595 0.000 0.000 0.000 3.595 0.000 0.000 0.000 14.696" Properties=species:S:1:pos:R:3 comment="Li3Tl5, optimized geometry, DFT PBE" final_energy_ry_per_atom=-0.1725 polymorph_energy_mev_per_atom=0 crystal_system=tetragonal dos_ef_per_ev_atom=0.289 spacegroup="No. 123" pbc="T T T"
Li 0.000 0.000 0.000
Li 1.798 1.798 5.611
Li 1.798 1.798 9.085
Tl 0.000 0.000 3.935
Tl 0.000 0.000 7.348
Tl 0.000 0.000 10.761
Tl 1.798 1.798 1.770
Tl 1.798 1.798 12.926

---

Entry 16:
4
Lattice="4.695 2.711 1.025 -4.695 2.711 1.025 0.000 -5.422 1.025" Properties=species:S:1:pos:R:3 comment="Li3Tl, optimized geometry, DFT PBE" final_energy_ry_per_atom=-0.1584 crystal_system=trigonal dos_ef_per_ev_atom=0.482 spacegroup="No. 166" pbc="T T T"
Li -2.348 -1.355 1.025
Li -2.348 1.355 2.051
Li 0.000 2.711 1.025
Tl 0.000 0.000 0.000

---

Entry 17:
4
Lattice="1.692 0.977 8.950 -1.692 0.977 8.950 0.000 -1.953 8.950" Properties=species:S:1:pos:R:3 comment="Li3Tl, optimized geometry, DFT PBE" final_energy_ry_per_atom=-0.1523 crystal_system=trigonal dos_ef_per_ev_atom=0.325 spacegroup="No. 166" pbc="T T T"
Li 0.000 0.000 0.000
Li 0.000 0.000 6.658
Li 0.000 0.000 20.193
Tl 0.000 0.000 13.426

---

Entry 18:
4
Lattice="5.203 0.000 0.000 0.000 5.203 0.000 0.000 0.000 5.203" Properties=species:S:1:pos:R:3 comment="LiTl3, optimized geometry, DFT PBE" final_energy_ry_per_atom=-0.1488 crystal_system=cubic dos_ef_per_ev_atom=0.483 spacegroup="No. 221" pbc="T T T"
Li 0.000 0.000 0.000
Tl 0.000 0.000 2.601
Tl 0.000 2.601 0.000
Tl 2.601 0.000 0.000

---

Entry 19:
4
Lattice="3.319 0.000 0.000 0.000 3.357 0.000 0.000 0.000 9.800" Properties=species:S:1:pos:R:3 comment="LiTl3, optimized geometry, DFT PBE" final_energy_ry_per_atom=-0.1668 crystal_system=orthorhombic dos_ef_per_ev_atom=0.530 spacegroup="No. 25" pbc="T T T"
Li 0.000 0.000 0.000
Tl 0.000 1.678 2.436
Tl 1.660 0.000 5.033
Tl 1.660 1.678 7.918

---

Entry 20:
10
Lattice="-4.320 4.320 3.786 4.320 -4.320 3.786 4.320 4.320 -3.786" Properties=species:S:1:pos:R:3 comment="LiTl4, optimized geometry, DFT PBE" final_energy_ry_per_atom=-0.1672 polymorph_energy_mev_per_atom=70 crystal_system=tetragonal dos_ef_per_ev_atom=0.440 spacegroup="No. 141" pbc="T T T"
Li 4.320 2.160 0.946
Li 0.000 2.160 2.839
Tl 4.320 -0.503 1.649
Tl 4.320 3.817 -1.649
Tl 1.657 2.160 0.244
Tl 2.663 -2.160 4.030
Tl 1.657 6.481 -0.244
Tl 2.663 2.160 3.542
Tl 0.000 0.503 5.435
Tl 0.000 4.823 2.137